PuPa | the Open Quantum Materials Database | PBE | relaxed; E = -10.678 eV/atom; crystal system = cubic; ΔE_f = 1.134 eV/atom; magnetic moment = 2.001 Bohr magnetons per cell; distance to the lowest polymorph of the same formula = 1.226 eV per atom
1.0
3.8031 -1.5029 -0.0416
2.6388 1.0320 2.9489
1.1355 -2.7678 2.7882
Pu Pa
1 1
direct
0.2500 0.2500 0.2500
0.0000 0.0000 0.0000